(1)
VASP calculation (PBE-GGA) on an optimized crystal structure of Nd4Ag5Pd2.

Values from the calculation:
- ρ (g/cm³) = 8.2
- DOS(E_F) (states/eV/cell) = 8.5
- calculated total energy (eV/atom) = -4.375
- ΔH_f (0 K) (eV/atom) = -0.40

Unit cell a=7.523 b=3.897 c=9.181 alpha=90.00 beta=95.16 gamma=90.00
Fractional positions:
Nd  0.193  0.000  0.364
Nd  0.241  0.000  0.931
Nd  0.759  0.000  0.069
Nd  0.807  0.000  0.636
Ag  0.171  0.500  0.640
Ag  0.457  0.500  0.180
Ag  0.500  0.500  0.500
Ag  0.543  0.500  0.820
Ag  0.829  0.500  0.360
Pd  0.074  0.500  0.142
Pd  0.926  0.500  0.858

=====

(2)
VASP calculation (PBE-GGA) on an optimized crystal structure of Nd2Ag5Pd.

Values from the calculation:
- ρ (g/cm³) = 8.6
- DOS(E_F) (states/eV/cell) = 7.6
- calculated total energy (eV/atom) = -3.865
- ΔH_f (0 K) (eV/atom) = -0.24

Unit cell a=9.166 b=9.166 c=9.862 alpha=90.00 beta=90.00 gamma=154.10
Fractional positions:
Nd  0.000  0.000  0.000
Nd  0.000  0.000  0.500
Nd  0.175  0.825  0.750
Nd  0.825  0.175  0.250
Ag  0.209  0.791  0.104
Ag  0.209  0.791  0.396
Ag  0.366  0.634  0.026
Ag  0.366  0.634  0.474
Ag  0.387  0.613  0.750
Ag  0.613  0.387  0.250
Ag  0.634  0.366  0.526
Ag  0.634  0.366  0.974
Ag  0.791  0.209  0.604
Ag  0.791  0.209  0.896
Pd  0.458  0.542  0.250
Pd  0.542  0.458  0.750

=====

(3)
VASP calculation (PBE-GGA) on an optimized crystal structure of NdAgPd.

Values from the calculation:
- ρ (g/cm³) = 8.6
- DOS(E_F) (states/eV/cell) = 1.0
- calculated total energy (eV/atom) = -4.765
- ΔE to the lowest computed polymorph (eV/f.u.) = 0.288
- ΔH_f (0 K) (eV/atom) = -0.49

Unit cell a=4.661 b=4.661 c=3.658 alpha=90.00 beta=90.00 gamma=120.00
Fractional positions:
Nd  0.000  0.000  0.000
Ag  0.333  0.667  0.499
Pd  0.667  0.333  0.501

=====

(4)
VASP calculation (PBE-GGA) on an optimized crystal structure of Nd4Ag3Pd5.

Values from the calculation:
- ρ (g/cm³) = 8.4
- DOS(E_F) (states/eV/cell) = 8.3
- calculated total energy (eV/atom) = -4.840
- ΔH_f (0 K) (eV/atom) = -0.37

Unit cell a=7.258 b=7.258 c=10.158 alpha=121.54 beta=121.54 gamma=39.47
Fractional positions:
Nd  0.037  0.037  0.300
Nd  0.246  0.246  0.733
Nd  0.754  0.754  0.267
Nd  0.963  0.963  0.700
Ag  0.221  0.221  0.041
Ag  0.500  0.500  0.000
Ag  0.779  0.779  0.959
Pd  0.000  0.000  0.000
Pd  0.309  0.309  0.495
Pd  0.428  0.428  0.344
Pd  0.572  0.572  0.656
Pd  0.691  0.691  0.505

=====

(5)
VASP calculation (PBE-GGA) on an optimized crystal structure of Nd6Ag5Pd.

Values from the calculation:
- ρ (g/cm³) = 8.0
- DOS(E_F) (states/eV/cell) = 11.5
- calculated total energy (eV/atom) = -4.337
- ΔH_f (0 K) (eV/atom) = -0.33

Unit cell a=5.279 b=7.475 c=8.338 alpha=90.00 beta=108.25 gamma=90.00
Fractional positions:
Nd  0.000  0.241  0.000
Nd  0.000  0.759  0.000
Nd  0.338  0.246  0.676
Nd  0.338  0.754  0.676
Nd  0.662  0.246  0.324
Nd  0.662  0.754  0.324
Ag  0.168  0.500  0.336
Ag  0.174  0.000  0.348
Ag  0.500  0.500  0.000
Ag  0.826  0.000  0.652
Ag  0.832  0.500  0.664
Pd  0.500  0.000  0.000

=====

(6)
VASP calculation (PBE-GGA) on an optimized crystal structure of Nd3Ag4Pd2.

Values from the calculation:
- ρ (g/cm³) = 8.4
- DOS(E_F) (states/eV/cell) = 5.4
- calculated total energy (eV/atom) = -4.358
- ΔH_f (0 K) (eV/atom) = -0.35

Unit cell a=5.715 b=5.715 c=9.390 alpha=109.41 beta=109.41 gamma=47.95
Fractional positions:
Nd  0.000  0.000  0.000
Nd  0.129  0.129  0.696
Nd  0.871  0.871  0.304
Ag  0.215  0.215  0.404
Ag  0.321  0.321  0.055
Ag  0.679  0.679  0.945
Ag  0.785  0.785  0.596
Pd  0.432  0.432  0.712
Pd  0.568  0.568  0.288

=====

(7)
VASP calculation (PBE-GGA) on an optimized crystal structure of Nd8Ag2Pd.

Values from the calculation:
- ρ (g/cm³) = 7.4
- DOS(E_F) (states/eV/cell) = 12.1
- calculated total energy (eV/atom) = -4.649
- ΔH_f (0 K) (eV/atom) = -0.19

Unit cell a=9.516 b=9.516 c=7.050 alpha=101.83 beta=101.83 gamma=32.18
Fractional positions:
Nd  0.025  0.025  0.276
Nd  0.201  0.201  0.828
Nd  0.340  0.340  0.526
Nd  0.411  0.411  0.050
Nd  0.589  0.589  0.950
Nd  0.660  0.660  0.474
Nd  0.799  0.799  0.172
Nd  0.975  0.975  0.724
Ag  0.189  0.189  0.244
Ag  0.811  0.811  0.756
Pd  0.500  0.500  0.500

=====

(8)
VASP calculation (PBE-GGA) on an optimized crystal structure of NdAg2Pd6.

Values from the calculation:
- ρ (g/cm³) = 8.8
- DOS(E_F) (states/eV/cell) = 7.7
- calculated total energy (eV/atom) = -4.748
- ΔH_f (0 K) (eV/atom) = -0.12

Unit cell a=5.453 b=5.453 c=7.324 alpha=90.00 beta=90.00 gamma=120.00
Fractional positions:
Nd  0.000  0.000  0.000
Ag  0.333  0.667  0.500
Ag  0.667  0.333  0.500
Pd  0.000  0.500  0.186
Pd  0.000  0.500  0.814
Pd  0.500  0.000  0.186
Pd  0.500  0.000  0.814
Pd  0.500  0.500  0.186
Pd  0.500  0.500  0.814

=====

(9)
VASP calculation (PBE-GGA) on an optimized crystal structure of Nd3Ag5Pd2.

Values from the calculation:
- ρ (g/cm³) = 8.5
- DOS(E_F) (states/eV/cell) = 11.7
- calculated total energy (eV/atom) = -4.161
- ΔH_f (0 K) (eV/atom) = -0.27

Unit cell a=9.299 b=9.299 c=9.299 alpha=102.09 beta=90.09 gamma=142.10
Fractional positions:
Nd  0.241  0.625  0.866
Nd  0.250  0.250  0.000
Nd  0.259  0.125  0.385
Nd  0.741  0.875  0.615
Nd  0.750  0.750  0.000
Nd  0.759  0.375  0.134
Ag  0.144  0.375  0.519
Ag  0.250  0.506  0.256
Ag  0.250  0.750  0.500
Ag  0.250  0.994  0.744
Ag  0.356  0.875  0.231
Ag  0.644  0.125  0.769
Ag  0.750  0.006  0.256
Ag  0.750  0.250  0.500
Ag  0.750  0.494  0.744
Ag  0.856  0.625  0.481
Pd  0.152  0.867  0.019
Pd  0.348  0.367  0.715
Pd  0.652  0.633  0.285
Pd  0.848  0.133  0.981

=====

(10)
VASP calculation (PBE-GGA) on an optimized crystal structure of NdAgPd.

Values from the calculation:
- ρ (g/cm³) = 8.9
- DOS(E_F) (states/eV/cell) = 1.7
- calculated total energy (eV/atom) = -4.756
- ΔE to the lowest computed polymorph (eV/f.u.) = 0.314
- ΔH_f (0 K) (eV/atom) = -0.49

Unit cell a=5.381 b=5.381 c=5.381 alpha=138.89 beta=138.89 gamma=59.54
Fractional positions:
Nd  0.000  0.000  0.000
Ag  0.679  0.679  0.000
Pd  0.341  0.341  0.000

=====

(11)
VASP calculation (PBE-GGA) on an optimized crystal structure of NdAgPd.

Values from the calculation:
- ρ (g/cm³) = 8.9
- DOS(E_F) (states/eV/cell) = 4.8
- calculated total energy (eV/atom) = -4.860
- ΔE to the lowest computed polymorph (eV/f.u.) = 0.000
- ΔH_f (0 K) (eV/atom) = -0.59

Unit cell a=7.370 b=4.141 c=8.774 alpha=90.00 beta=90.00 gamma=90.00
Fractional positions:
Nd  0.059  0.250  0.190
Nd  0.441  0.750  0.690
Nd  0.559  0.250  0.310
Nd  0.941  0.750  0.810
Ag  0.125  0.250  0.563
Ag  0.375  0.750  0.063
Ag  0.625  0.250  0.937
Ag  0.875  0.750  0.437
Pd  0.232  0.250  0.876
Pd  0.268  0.750  0.376
Pd  0.732  0.250  0.624
Pd  0.768  0.750  0.124

=====

(12)
VASP calculation (PBE-GGA) on an optimized crystal structure of Nd8AgPd2.

Values from the calculation:
- ρ (g/cm³) = 7.3
- DOS(E_F) (states/eV/cell) = 13.9
- calculated total energy (eV/atom) = -4.877
- ΔE to the lowest computed polymorph (eV/f.u.) = 1.136
- ΔH_f (0 K) (eV/atom) = -0.21

Unit cell a=8.194 b=8.194 c=5.830 alpha=99.25 beta=99.25 gamma=115.66
Fractional positions:
Nd  0.000  0.000  0.000
Nd  0.053  0.297  0.602
Nd  0.153  0.621  0.185
Nd  0.297  0.053  0.602
Nd  0.475  0.719  0.769
Nd  0.621  0.153  0.185
Nd  0.719  0.475  0.769
Nd  0.772  0.772  0.371
Ag  0.386  0.386  0.180
Pd  0.088  0.684  0.685
Pd  0.684  0.088  0.685